# 1
VASP calculation (PBE) on Tl2TeSe after structural relaxation.

The uncorrected formation energy comes out at 0.0229 eV per atom. As for the excess energy over the best structure of this formula in the dataset: 239 meV/atom.

a b c (Å): 7.7781 7.7781 7.7781
angles (deg): 90.00 90.00 90.00
Space group F-43m (No. 216)
Unique sites:
Tl1 0.0000 0.0000 0.0000 [4 per cell]
Tl2 0.2500 0.2500 0.2500 [4 per cell]
Te1 0.2500 0.2500 0.7500 [4 per cell]
Se1 0.0000 0.0000 0.5000 [4 per cell]

***

# 2
VASP calculation (PBE) on Fe2NiPd after structural relaxation.

As for the excess energy over the best structure of this formula in the dataset: 425 meV/atom.

a b c (Å): 6.6332 6.6332 5.0599
angles (deg): 90.00 90.00 90.00
Space group I-42d (No. 122)
Unique sites:
Fe1 0.2280 0.7500 0.1250 [8 per cell]
Ni1 0.0000 0.0000 0.0000 [4 per cell]
Pd1 0.0000 0.0000 0.5000 [4 per cell]

***

# 3
VASP calculation (PBE) on Mg2Pt9W after structural relaxation.

a b c (Å): 3.9652 3.9652 11.8822
angles (deg): 90.00 90.00 90.00
Space group P4/mmm (No. 123)
Unique sites:
Mg1 0.0000 0.0000 0.1619 [2 per cell]
Pt1 0.0000 0.5000 0.0000 [2 per cell]
Pt2 0.0000 0.5000 0.3382 [4 per cell]
Pt3 0.5000 0.5000 0.1678 [2 per cell]
Pt4 0.5000 0.5000 0.5000 [1 per cell]
W1 0.0000 0.0000 0.5000 [1 per cell]

***

# 4
VASP calculation (PBE) on Sr2Mg15In2 after structural relaxation.

a b c (Å): 10.4798 10.4798 15.4062
angles (deg): 90.00 90.00 120.00
Space group R-3m (No. 166, hexagonal axes)
Unique sites:
Sr1 0.0000 0.0000 0.1665 [6 per cell]
Mg1 0.0000 0.3014 0.5000 [18 per cell]
Mg2 0.0000 0.5000 0.0000 [9 per cell]
Mg3 0.0062 0.5031 0.6549 [18 per cell]
In1 0.0000 0.0000 0.4006 [6 per cell]

***

# 5
VASP calculation (PBE) on ScAl2Os after structural relaxation.

a b c (Å): 2.9576 4.3075 5.3446
angles (deg): 90.00 104.08 90.00
Space group P2/m (No. 10)
Unique sites:
Sc1 0.0000 0.0000 0.0000 [1 per cell]
Al1 0.3420 0.5000 0.7260 [2 per cell]
Os1 0.5000 0.0000 0.5000 [1 per cell]

***

# 6
VASP calculation (PBE) on PrGdAu after structural relaxation.

As for the excess energy over the best structure of this formula in the dataset: 126 meV/atom.

a b c (Å): 4.9764 4.9764 3.9353
angles (deg): 90.00 90.00 120.00
Space group P3m1 (No. 156)
Unique sites:
Pr1 0.0000 0.0000 0.0000 [1 per cell]
Gd1 0.6667 0.3333 0.5507 [1 per cell]
Au1 0.3333 0.6667 0.3247 [1 per cell]

***

# 7
VASP calculation (PBE) on Y4Tl2TeAs after structural relaxation.

The uncorrected formation energy comes out at -0.8813 eV per atom.

a b c (Å): 7.1216 4.0765 8.2414
angles (deg): 90.00 106.41 90.00
Space group P2/m (No. 10)
Unique sites:
Y1 0.2251 0.0000 0.2201 [2 per cell]
Y2 0.2397 0.5000 0.7678 [2 per cell]
Tl1 0.0000 0.0000 0.5000 [1 per cell]
Tl2 0.5000 0.5000 0.5000 [1 per cell]
Te1 0.5000 0.0000 0.0000 [1 per cell]
As1 0.0000 0.5000 0.0000 [1 per cell]

***

# 8
VASP calculation (PBE) on Mg3Au4 after structural relaxation.

As for the excess energy over the best structure of this formula in the dataset: 85 meV/atom.

a b c (Å): 3.5553 3.5553 20.5162
angles (deg): 90.00 90.00 90.00
Space group I4/mmm (No. 139)
Unique sites:
Mg1 0.0000 0.0000 0.0000 [2 per cell]
Mg2 0.0000 0.0000 0.2937 [4 per cell]
Au1 0.0000 0.0000 0.1523 [4 per cell]
Au2 0.0000 0.0000 0.4310 [4 per cell]

***

# 9
VASP calculation (PBE) on DyHg2Sb after structural relaxation.

The uncorrected formation energy comes out at -0.4627 eV per atom.

a b c (Å): 4.4464 4.4464 5.0885
angles (deg): 90.00 90.00 90.00
Space group P4/mmm (No. 123)
Unique sites:
Dy1 0.0000 0.0000 0.0000 [1 per cell]
Hg1 0.0000 0.5000 0.5000 [2 per cell]
Sb1 0.5000 0.5000 0.0000 [1 per cell]

***

# 10
VASP calculation (PBE) on BaZr2Cl after structural relaxation.

The uncorrected formation energy comes out at 0.0923 eV per atom. As for the excess energy over the best structure of this formula in the dataset: 403 meV/atom.

a b c (Å): 3.3566 3.3566 31.8128
angles (deg): 90.00 90.00 120.00
Space group R-3m (No. 166, hexagonal axes)
Unique sites:
Ba1 0.0000 0.0000 0.0000 [3 per cell]
Zr1 0.0000 0.0000 0.2337 [6 per cell]
Cl1 0.0000 0.0000 0.5000 [3 per cell]

***

# 11
VASP calculation (PBE) on La2HRu after structural relaxation.

As for the excess energy over the best structure of this formula in the dataset: 192 meV/atom.

a b c (Å): 6.9337 6.9337 6.9337
angles (deg): 90.00 90.00 90.00
Space group Fm-3m (No. 225)
Unique sites:
La1 0.2500 0.2500 0.2500 [8 per cell]
H1 0.0000 0.0000 0.0000 [4 per cell]
Ru1 0.0000 0.0000 0.5000 [4 per cell]

***

# 12
VASP calculation (PBE) on TaTi3Re4 after structural relaxation.

a b c (Å): 3.1497 4.4400 8.8438
angles (deg): 90.00 90.00 90.00
Space group Pmmm (No. 47)
Unique sites:
Ta1 0.0000 0.0000 0.0000 [1 per cell]
Ti1 0.0000 0.0000 0.5000 [1 per cell]
Ti2 0.0000 0.5000 0.2538 [2 per cell]
Re1 0.5000 0.0000 0.2527 [2 per cell]
Re2 0.5000 0.5000 0.0000 [1 per cell]
Re3 0.5000 0.5000 0.5000 [1 per cell]

***

# 13
VASP calculation (PBE) on Er2AlHg after structural relaxation.

As for the excess energy over the best structure of this formula in the dataset: 151 meV/atom.

a b c (Å): 3.5987 3.5987 27.6607
angles (deg): 90.00 90.00 120.00
Space group R-3m (No. 166, hexagonal axes)
Unique sites:
Er1 0.0000 0.0000 0.2472 [6 per cell]
Al1 0.0000 0.0000 0.5000 [3 per cell]
Hg1 0.0000 0.0000 0.0000 [3 per cell]

***

# 14
VASP calculation (PBE) on Ba2PuH6Ru after structural relaxation.

a b c (Å): 5.7136 5.7136 6.1158
angles (deg): 90.00 90.00 120.00
Space group P-3m1 (No. 164)
Unique sites:
Ba1 0.3333 0.6667 0.3222 [2 per cell]
Pu1 0.0000 0.0000 0.0000 [1 per cell]
H1 0.1423 0.2846 0.6698 [6 per cell]
Ru1 0.0000 0.0000 0.5000 [1 per cell]

***

# 15
VASP calculation (PBE) on Tl2InTePb after structural relaxation.

The uncorrected formation energy comes out at 0.3002 eV per atom.

a b c (Å): 5.6415 5.6415 5.9347
angles (deg): 90.00 90.00 90.00
Space group P4/mmm (No. 123)
Unique sites:
Tl1 0.0000 0.5000 0.0000 [2 per cell]
In1 0.0000 0.0000 0.0000 [1 per cell]
Te1 0.0000 0.0000 0.5000 [1 per cell]
Pb1 0.5000 0.5000 0.5000 [1 per cell]

***

# 16
VASP calculation (PBE) on SiIrPt after structural relaxation.

The uncorrected formation energy comes out at -0.4095 eV per atom. As for the excess energy over the best structure of this formula in the dataset: 259 meV/atom.

a b c (Å): 2.9073 2.9073 10.1170
angles (deg): 90.00 90.00 90.00
Space group I4mm (No. 107)
Unique sites:
Si1 0.0000 0.0000 0.0000 [2 per cell]
Ir1 0.0000 0.0000 0.3657 [2 per cell]
Pt1 0.0000 0.0000 0.6504 [2 per cell]

***

# 17
VASP calculation (PBE) on NaTl5Cd2Hg after structural relaxation.

a b c (Å): 3.4662 17.3713 17.0456
angles (deg): 90.00 90.00 90.00
Space group Cmc2_1 (No. 36)
Unique sites:
Na1 0.0000 0.0762 0.0000 [4 per cell]
Tl1 0.0000 0.1046 0.5244 [4 per cell]
Tl2 0.0000 0.1046 0.8088 [4 per cell]
Tl3 0.0000 0.1728 0.2688 [4 per cell]
Tl4 0.0000 0.2550 0.9289 [4 per cell]
Tl5 0.0000 0.4801 0.6725 [4 per cell]
Cd1 0.0000 0.3264 0.1695 [4 per cell]
Cd2 0.0000 0.4564 0.8709 [4 per cell]
Hg1 0.0000 0.3033 0.5926 [4 per cell]

***

no.,total energy (eV/cell),DOS at the Fermi energy (states/eV per cell)
1,-45.07,13.84
2,-105.40,16.21
3,-76.78,8.87
4,-103.34,24.13
5,-26.35,3.63
6,-23.29,2.43
7,-45.43,3.93
8,-42.29,5.11
9,-11.18,1.00
10,-61.49,20.71
11,-92.41,11.51
12,-88.69,4.12
13,-42.84,7.61
14,-50.66,13.85
15,-12.82,3.66
16,-43.11,4.26
17,-61.63,11.73